1.
Material: TbDyAg
Method: DFT, GGA-PBE
State: relaxed

Unit cell a=4.901 b=4.901 c=4.901 alpha=60.00 beta=60.00 gamma=60.00
Sites, in units of the cell vectors:
Tb1 0.750 0.750 0.750
Dy1 0.000 0.000 0.000
Ag1 0.250 0.250 0.250

Properties
total energy	-3.4723	eV/atom
formation energy	0.55	eV/atom
mass density	8.56	g cm⁻³

=====

2.
Material: TbDyAg2Te4
Method: DFT, GGA-PBE
State: relaxed

Unit cell a=7.118 b=7.118 c=4.734 alpha=90.00 beta=90.00 gamma=90.02
Sites, in units of the cell vectors:
Te1 0.799 0.201 0.713
Te2 0.298 0.298 0.287
Te3 0.702 0.702 0.287
Te4 0.201 0.799 0.713
Dy1 0.000 0.000 0.197
Ag1 0.500 0.000 0.000
Ag2 0.000 0.500 0.000
Tb1 0.500 0.500 0.803

Properties
total energy	-4.3515	eV/atom
mass density	7.25	g cm⁻³

=====

3.
Material: DyAg3Te3
Method: DFT, GGA-PBE
State: relaxed

Unit cell a=8.597 b=8.597 c=8.597 alpha=54.24 beta=54.24 gamma=54.24
Sites, in units of the cell vectors:
Te1 0.074 0.395 0.751
Te2 0.605 0.249 0.926
Te3 0.751 0.074 0.395
Te4 0.926 0.605 0.249
Te5 0.249 0.926 0.605
Te6 0.395 0.751 0.074
Dy1 0.332 0.332 0.332
Dy2 0.668 0.668 0.668
Ag1 0.876 0.226 0.512
Ag2 0.512 0.876 0.226
Ag3 0.488 0.124 0.774
Ag4 0.124 0.774 0.488
Ag5 0.774 0.488 0.124
Ag6 0.226 0.512 0.876

Properties
total energy	-3.7699	eV/atom
mass density	7.42	g cm⁻³

=====

4.
Material: Dy2AgTe3
Method: DFT, GGA-PBE
State: relaxed

Unit cell a=11.005 b=4.166 c=14.653 alpha=90.00 beta=90.00 gamma=90.00
Sites, in units of the cell vectors:
Ag1 0.262 0.750 0.774
Ag2 0.762 0.750 0.726
Ag3 0.738 0.250 0.226
Ag4 0.238 0.250 0.274
Te1 0.737 0.750 0.361
Te2 0.237 0.750 0.139
Te3 0.958 0.750 0.601
Te4 0.576 0.750 0.598
Te5 0.076 0.750 0.902
Te6 0.763 0.250 0.861
Te7 0.924 0.250 0.098
Te8 0.542 0.250 0.101
Te9 0.042 0.250 0.399
Te10 0.424 0.250 0.402
Te11 0.458 0.750 0.899
Te12 0.263 0.250 0.639
Dy1 0.269 0.250 0.973
Dy2 0.486 0.750 0.252
Dy3 0.514 0.250 0.748
Dy4 0.231 0.750 0.473
Dy5 0.986 0.750 0.248
Dy6 0.014 0.250 0.752
Dy7 0.769 0.250 0.527
Dy8 0.731 0.750 0.027

Properties
total energy	-4.5775	eV/atom
mass density	8.06	g cm⁻³